VASP calculation (PBE) on crystalline Tl2TcMo at its relaxed geometry.

a = 9.419 Å, b = 3.108 Å, c = 5.304 Å
α = 90.00°, β = 101.51°, γ = 90.00°
Space group C2/m (No. 12)
Unique sites:
Tl1 0.248 0.000 0.247
Tc1 0.000 0.500 0.000
Mo1 0.000 0.000 0.500

DFT total energy ... -45.05 eV per cell
Magnetization ... 0.001 μB/cell
Fermi-level density of states ... 1.13 states/eV per atom
Formation energy ... 0.85 eV/atom